Compound: ErZnSe
Source: Alexandria
Functional: GGA-PBE
Structure: relaxed

Calculated values
- M_tot (μB per formula unit) = 0.00
- uncorrected formation energy (eV per atom) = -1.031
- electronic total energy (eV/atom) = -4.138
- Fermi-level density of states (states/eV per atom) = 0.47
- calculated density (g cm⁻³) = 7.75

extended XYZ file:
```
6
Lattice="3.8836 -0.7529 -0.0440 0.7510 3.8839 -0.0440 0.1123 0.0758 8.5369" Properties=species:S:1:pos:R:3 pbc="T T T"
Zn 1.5343 2.7245 -0.0440
Zn 3.1003 0.4066 -0.0440
Er 1.1917 0.8051 2.5814
Er 3.5552 2.4018 5.8675
Se 3.5142 2.3742 2.9193
Se 1.2327 0.8328 5.5296
```